(1)
Entry from the Alexandria database: a relaxed structure of Tl2As2Br (GGA-PBE).

Calculated values
Energy relative to the elements, uncorrected (eV/atom): -0.235
Calculated volume (A^3/atom): 29.00
E (eV per atom): -3.38
DOS(E_F) (states/eV/f.u.): 1.3

a b c (Å): 10.350 10.350 10.350
angles (deg): 158.79 158.79 30.17
Positions (direct):
Tl 0.105 0.105 0.000
Tl 0.895 0.895 0.000
As 0.250 0.750 0.500
As 0.750 0.250 0.500
Br 0.500 0.500 0.000

=====

(2)
Entry from the Alexandria database: a relaxed structure of La5Pm2Y3 (GGA-PBE).

Calculated values
Energy of formation (meV per atom): 159
Calculated volume (A^3/atom): 35.69
E (eV per atom): -5.19
DOS(E_F) (states/eV/f.u.): 17.8

a b c (Å): 9.267 9.267 10.274
angles (deg): 108.86 108.86 106.22
Positions (direct):
La 0.013 0.987 0.750
La 0.126 0.384 0.754
La 0.222 0.778 0.750
La 0.384 0.126 0.254
La 0.474 0.526 0.250
La 0.526 0.474 0.750
La 0.616 0.874 0.746
La 0.778 0.222 0.250
La 0.874 0.616 0.246
La 0.987 0.013 0.250
Pm 0.029 0.283 0.064
Pm 0.283 0.029 0.564
Pm 0.717 0.971 0.436
Pm 0.971 0.717 0.936
Y 0.223 0.474 0.445
Y 0.267 0.733 0.250
Y 0.474 0.223 0.945
Y 0.526 0.777 0.055
Y 0.733 0.267 0.750
Y 0.777 0.526 0.555

=====

(3)
Entry from the Alexandria database: a relaxed structure of PmCuSe2O6 (GGA-PBE).

Calculated values
Energy relative to the elements, uncorrected (eV/atom): -1.336
Calculated volume (A^3/atom): 14.62
E (eV per atom): -5.89
DOS(E_F) (states/eV/f.u.): 0.0

a b c (Å): 6.805 6.805 6.805
angles (deg): 45.53 45.53 45.53
Positions (direct):
Pm 0.000 0.000 0.000
Cu 0.500 0.500 0.500
Se 0.214 0.214 0.214
Se 0.786 0.786 0.786
O 0.052 0.732 0.454
O 0.268 0.546 0.948
O 0.454 0.052 0.732
O 0.546 0.948 0.268
O 0.732 0.454 0.052
O 0.948 0.268 0.546